No. 1
Here is a relaxed PmMg2Sc crystal from Alexandria. Energies are from GGA-PBE.

Structure (extended XYZ):
```
4
Lattice="5.2751 0.0000 0.0000 2.6376 4.5684 0.0000 2.6376 1.5228 4.3071" Properties=species:S:1:pos:R:3 pbc="T T T"
Pm 0.0000 0.0000 0.0000
Mg 2.6376 1.5228 1.0768
Mg 7.9127 4.5684 3.2303
Sc 5.2751 3.0456 2.1536
```

Values from the calculation:
Uncorrected energy (eV/atom): -3.6376
Space-group type: Fm-3m, No. 225
Distance to the lowest polymorph of the same formula (eV/f.u.): 0.00
Energy of formation from the pure elements (meV/atom): -70



No. 2
Here is a relaxed AlCd5 crystal from Alexandria. Energies are from GGA-PBE.

Structure (extended XYZ):
```
6
Lattice="-2.0143 1.8256 -1.3128 1.0777 -2.3868 -1.5017 -12.3862 -9.3604 5.9881" Properties=species:S:1:pos:R:3 pbc="T T T"
Cd -2.8998 -1.0266 -0.4494
Cd -11.4537 -7.4909 3.6860
Cd -7.1767 -4.2587 1.6183
Cd -4.0462 -3.0577 1.9561
Cd -8.3400 -6.3027 4.0320
Al 0.0000 0.0000 0.0000
```

Values from the calculation:
Uncorrected energy (eV/atom): -1.3244
Space-group type: P-6m2, No. 187
Distance to the lowest polymorph of the same formula (eV/f.u.): 0.05
Energy of formation from the pure elements (meV/atom): 62



No. 3
Here is a relaxed Be2TcAs crystal from Alexandria. Energies are from GGA-PBE.

Structure (extended XYZ):
```
4
Lattice="3.4536 0.0000 0.0000 0.0000 2.9943 -0.0086 0.0000 0.0170 4.7473" Properties=species:S:1:pos:R:3 pbc="T T T"
Tc 1.7268 0.7528 1.1847
As 1.7268 2.2585 3.5540
Be 0.0000 2.2482 0.1711
Be 0.0000 2.2518 2.1896
```

Values from the calculation:
Uncorrected energy (eV/atom): -5.5696
Space-group type: Pmmm, No. 47
Energy of formation from the pure elements (meV/atom): 47